(1)
Here is a relaxed TaRe crystal from Alexandria. Energies are from PBE.

```
data_TaRe
_chemical_formula_sum 'Ta2 Re2'
_cell_length_a 3.0440
_cell_length_b 3.0440
_cell_length_c 8.4346
_cell_angle_alpha 90.00
_cell_angle_beta 90.00
_cell_angle_gamma 120.00
_space_group_name_H-M_alt 'P 63/m m c'
_space_group_IT_number 194
_space_group_name_Hall '-P 6c 2c'
loop_
_atom_site_label
_atom_site_fract_x
_atom_site_fract_y
_atom_site_fract_z
_atom_site_occupancy
Ta1 0.0000 0.0000 0.0000 1
Re1 0.3333 0.6667 0.2500 1
```

Calculated values
E = -12.02 eV per atom
Formation energy = 0.259 eV/f.u.

---

(2)
Here is a relaxed Na3AlN2 crystal from Alexandria. Energies are from PBE.

```
data_Na3AlN2
_chemical_formula_sum 'Na12 Al4 N8'
_cell_length_a 6.529
_cell_length_b 8.417
_cell_length_c 8.644
_cell_angle_alpha 90.00
_cell_angle_beta 118.33
_cell_angle_gamma 90.00
_space_group_name_H-M_alt 'P 1 21/c 1'
_space_group_IT_number 14
loop_
_space_group_symop_operation_xyz
'x,y,z'
'-x,-y,-z'
'-x,y+1/2,-z+1/2'
'x,-y+1/2,z+1/2'
loop_
_atom_site_label
_atom_site_fract_x
_atom_site_fract_y
_atom_site_fract_z
_atom_site_occupancy
Na1 0.247 0.005 0.379 1
Na2 0.249 0.001 0.001 1
Na3 0.251 0.203 0.684 1
Al1 0.231 0.682 0.186 1
N1 0.018 0.216 0.841 1
N2 0.457 0.554 0.211 1
```

Calculated values
E = -4.14 eV per atom
ΔE_f (raw) = -7.8 kJ per mole of atoms

---

> Among the records above, which one has the highest E?

Na3AlN2

---

Please write out number 2 again, unchanged.
Here is a relaxed Na3AlN2 crystal from Alexandria. Energies are from PBE.

```
data_Na3AlN2
_chemical_formula_sum 'Na12 Al4 N8'
_cell_length_a 6.529
_cell_length_b 8.417
_cell_length_c 8.644
_cell_angle_alpha 90.00
_cell_angle_beta 118.33
_cell_angle_gamma 90.00
_space_group_name_H-M_alt 'P 1 21/c 1'
_space_group_IT_number 14
loop_
_space_group_symop_operation_xyz
'x,y,z'
'-x,-y,-z'
'-x,y+1/2,-z+1/2'
'x,-y+1/2,z+1/2'
loop_
_atom_site_label
_atom_site_fract_x
_atom_site_fract_y
_atom_site_fract_z
_atom_site_occupancy
Na1 0.247 0.005 0.379 1
Na2 0.249 0.001 0.001 1
Na3 0.251 0.203 0.684 1
Al1 0.231 0.682 0.186 1
N1 0.018 0.216 0.841 1
N2 0.457 0.554 0.211 1
```

Calculated values
E = -4.14 eV per atom
ΔE_f (raw) = -7.8 kJ per mole of atoms

---

> The highest E belongs to which entry?

Na3AlN2